Entry 1:
# MnCr2Pt GGA-PBE relaxed
# ΔE_f ... 0.12 eV/atom
data_MnCr2Pt
_chemical_formula_sum 'Mn1 Cr2 Pt1'
_cell_length_a 8.578
_cell_length_b 8.578
_cell_length_c 8.578
_cell_angle_alpha 17.60
_cell_angle_beta 17.60
_cell_angle_gamma 17.60
_space_group_name_H-M_alt 'P 1'
_space_group_IT_number 1
_space_group_name_Hall 'P 1'
loop_
_atom_site_label
_atom_site_fract_x
_atom_site_fract_y
_atom_site_fract_z
Mn1 0.000 0.000 0.000
Cr1 0.256 0.256 0.256
Cr2 0.744 0.744 0.744
Pt1 0.500 0.500 0.500

Entry 2:
# LiTmHfIr GGA-PBE relaxed
# ΔE_f ... -0.55 eV/atom
data_LiTmHfIr
_chemical_formula_sum 'Li1 Tm1 Hf1 Ir1'
_cell_length_a 4.734
_cell_length_b 4.734
_cell_length_c 4.734
_cell_angle_alpha 60.00
_cell_angle_beta 60.00
_cell_angle_gamma 60.00
_space_group_name_H-M_alt 'P 1'
_space_group_IT_number 1
_space_group_name_Hall 'P 1'
loop_
_atom_site_label
_atom_site_fract_x
_atom_site_fract_y
_atom_site_fract_z
Li1 0.000 0.000 0.000
Tm1 0.250 0.250 0.250
Hf1 0.750 0.750 0.750
Ir1 0.500 0.500 0.500